[1]
Here is a relaxed BeTl2Ge crystal from the Alexandria database. Energies are from PBE.

Properties
E_tot = -2.621 eV per atom
ΔE to the lowest computed polymorph = 272 meV per atom
DOS(E_F) = 1.43 states/eV per cell
DFT formation energy = 14.95 kcal/mol of atoms

Cell: 5.0450 5.0450 5.0450 Å, 60.00 60.00 60.00°
Closest atoms and distances in Å follow each position.
Sites, in units of the cell vectors:
Be 0.0000 0.0000 0.0000  8 Tl 3.09
Tl 0.2500 0.2500 0.2500  4 Ge 3.09, 4 Be 3.09
Tl 0.7500 0.7500 0.7500  4 Ge 3.09, 4 Be 3.09
Ge 0.5000 0.5000 0.5000  8 Tl 3.09

[2]
Here is a relaxed SrLiP2 crystal from the Alexandria database. Energies are from PBE.

Properties
E_tot = -4.219 eV per atom
ΔE to the lowest computed polymorph = 110 meV per atom
DOS(E_F) = 1.25 states/eV per cell
DFT formation energy = -14.19 kcal/mol of atoms

Cell: 3.6078 3.7195 5.9812 Å, 90.00 90.00 90.00°
Closest atoms and distances in Å follow each position.
Sites, in units of the cell vectors:
Sr 0.0000 0.0000 0.0000  2 Li 2.99, 8 P 3.22
Li 0.0000 0.0000 0.5000  8 P 2.81, 2 Sr 2.99
P 0.5000 0.5000 0.3198  1 P 2.16
P 0.5000 0.5000 0.6802  1 P 2.16